This record from Alexandria via LeMat-Bulk describes crystalline NaCaHf2Os at its relaxed geometry. The functional is GGA-PBE.

Unit cell a=5.0005 b=5.6794 c=5.0005 alpha=90.00 beta=90.00 gamma=90.00
Closest atoms and distances in Å follow each position.
Fractional positions:
Hf 0.0000 0.0000 0.5000  2 Os 2.50
Hf 0.5000 0.0000 0.0000  2 Os 2.50
Ca 0.5000 0.5000 0.5000  4 Na 3.54, 8 Hf 3.78
Os 0.0000 0.0000 0.0000  4 Hf 2.50
Na 0.0000 0.5000 0.0000  2 Os 2.84

Calculated values
size of the total moment: 0.00 Bohr magnetons per cell
DFT formation energy: 426 meV per atom
E: -0.475 Ry per atom
crystal system: tetragonal